Pm2FeMoO6: optimized geometry, PBE+U.

a = 4.1484 Å, b = 5.7267 Å, c = 5.7267 Å
α = 90.00°, β = 90.00°, γ = 90.00°
With the nearest neighbours (Å) after each atom.
Positions (direct):
Pm  0.0228  0.5000  0.0000  4 O 2.41
Pm  0.0228  0.0000  0.5000  4 O 2.41
Fe  0.6249  0.0000  0.0000  6 O 1.96-2.18
Mo  0.6343  0.5000  0.5000  6 O 1.99-2.16
O  0.7090  0.2524  0.2524  1 Mo 2.03, 1 Fe 2.07
O  0.7090  0.2524  0.7476  1 Mo 2.03, 1 Fe 2.07
O  0.1548  0.5000  0.5000  2 Mo 1.99-2.16
O  0.1512  0.0000  0.0000  2 Fe 1.96-2.18
O  0.7090  0.7476  0.7476  1 Mo 2.03, 1 Fe 2.07
O  0.7090  0.7476  0.2524  1 Mo 2.03, 1 Fe 2.07

## Properties
Its density of states at the Fermi level is 0.17 states/eV per atom. The calculation puts the final energy at -7.4563 eV/atom. The space group is P4mm.